No. 1
First-principles (PBE-GGA) data for a relaxed structure of LiGaSi2, as listed in the Alexandria database.

Its energy relative to the elements, uncorrected is 0.20 eV per atom. The calculated volume is 142.4 Å³/cell. For the final energy, the calculation gives -30.0 eV for the cell shown.

Lattice parameters (Å, degrees): 5.930 5.930 5.930 99.73 99.73 131.46
Element x y z (fractional)
Li 0.000 0.000 0.000
Li 0.750 0.250 0.500
Ga 0.250 0.750 0.500
Ga 0.500 0.500 0.000
Si 0.187 0.625 0.062
Si 0.375 0.437 0.562
Si 0.563 0.125 0.938
Si 0.875 0.813 0.438

---

No. 2
First-principles (PBE-GGA) data for a relaxed structure of LaPr2HoTe5, as listed in the Alexandria database.

Its energy relative to the elements, uncorrected is -0.93 eV per atom. The calculated volume is 363.9 Å³/cell. For the final energy, the calculation gives -43.1 eV for the cell shown.

Lattice parameters (Å, degrees): 5.531 5.531 11.892 90.00 90.00 90.00
Element x y z (fractional)
La 0.000 0.000 0.000
Pr 0.500 0.500 0.342
Pr 0.500 0.500 0.658
Ho 0.000 0.000 0.500
Te 0.000 0.000 0.251
Te 0.000 0.000 0.749
Te 0.000 0.500 0.500
Te 0.500 0.000 0.500
Te 0.500 0.500 0.000

---

No. 3
First-principles (PBE-GGA) data for a relaxed structure of CsPaPb3, as listed in the Alexandria database.

The calculated volume is 226.7 Å³/cell. For the final energy, the calculation gives -19.8 eV for the cell shown. As for the formation energy: 0.3446 eV/atom.

Lattice parameters (Å, degrees): 6.098 6.098 6.098 90.00 90.00 90.00
Element x y z (fractional)
Cs 0.000 0.000 0.000
Pa 0.500 0.500 0.500
Pb 0.000 0.500 0.500
Pb 0.500 0.000 0.500
Pb 0.500 0.500 0.000

---

No. 4
First-principles (PBE-GGA) data for a relaxed structure of Hf2Sc3Zn2, as listed in the Alexandria database.

The calculated volume is 147.3 Å³/cell. For the final energy, the calculation gives -41.5 eV for the cell shown. As for the formation energy: -0.0032 eV/atom.

Lattice parameters (Å, degrees): 10.471 10.471 3.078 90.00 90.00 154.12
Element x y z (fractional)
Hf 0.216 0.784 0.000
Hf 0.784 0.216 0.000
Sc 0.354 0.646 0.500
Sc 0.500 0.500 0.500
Sc 0.646 0.354 0.500
Zn 0.070 0.930 0.000
Zn 0.930 0.070 0.000

---

No. 5
First-principles (PBE-GGA) data for a relaxed structure of U2MnIr, as listed in the Alexandria database.

The calculated volume is 73.3 Å³/cell. For the final energy, the calculation gives -40.5 eV for the cell shown. As for the formation energy: 0.0145 eV/atom.

Lattice parameters (Å, degrees): 3.861 3.861 7.087 93.38 93.38 44.03
Element x y z (fractional)
U 0.245 0.245 0.271
U 0.755 0.755 0.729
Mn 0.500 0.500 0.500
Ir 0.500 0.500 0.000

---

No. 6
First-principles (PBE-GGA) data for a relaxed structure of K2AgSb3Au4, as listed in the Alexandria database.

Its energy relative to the elements, uncorrected is -0.27 eV per atom. The calculated volume is 262.4 Å³/cell. For the final energy, the calculation gives -33.2 eV for the cell shown.

Lattice parameters (Å, degrees): 4.860 4.860 11.108 90.00 90.00 90.00
Element x y z (fractional)
K 0.000 0.500 0.249
K 0.500 0.000 0.751
Ag 0.000 0.000 0.500
Sb 0.000 0.500 0.871
Sb 0.500 0.000 0.129
Sb 0.500 0.500 0.500
Au 0.000 0.000 0.000
Au 0.000 0.500 0.626
Au 0.500 0.000 0.374
Au 0.500 0.500 0.000

---

No. 7
First-principles (PBE-GGA) data for a relaxed structure of Gd3InC, as listed in the Alexandria database.

The calculated volume is 123.6 Å³/cell. For the final energy, the calculation gives -56.5 eV for the cell shown. The calculation puts the energy relative to the lowest polymorph listed for this composition at 0 meV per atom. As for the formation energy: -0.4571 eV/atom.

Lattice parameters (Å, degrees): 4.982 4.982 4.982 90.00 90.00 90.00
Element x y z (fractional)
Gd 0.000 0.000 0.500
Gd 0.000 0.500 0.000
Gd 0.500 0.000 0.000
In 0.500 0.500 0.500
C 0.000 0.000 0.000